Record 1
This record from the Alexandria database describes crystalline MnRhW2 at its relaxed geometry. The functional is PBE.

Cell lengths 4.7311, 4.7311, 4.8109 Å; angles 99.37, 99.37, 33.51 degrees
Sites, in units of the cell vectors:
Mn  0.0000  0.0000  0.0000
Rh  0.2584  0.2584  0.7275
W  0.5092  0.5092  0.5100
W  0.7481  0.7481  0.2099

Values from the calculation:
- spin magnetization (Bohr magnetons per cell) = 1.70
- ρ (g/cm³) = 14.90
- DFT formation energy (eV per atom) = 0.095
- polymorph energy (0 for the lowest one) (meV/atom) = 58
- electronic total energy (eV per atom) = -10.51
- space group = No. 8
- DOS at the Fermi energy (states/eV/atom) = 1.06

***

Record 2
This record from the Alexandria database describes crystalline MnRhW2 at its relaxed geometry. The functional is PBE.

Cell lengths 4.3606, 4.3606, 4.3606 Å; angles 60.00, 60.00, 60.00 degrees
Sites, in units of the cell vectors:
Mn  0.0000  0.0000  0.0000
Rh  0.5000  0.5000  0.5000
W  0.2500  0.2500  0.2500
W  0.7500  0.7500  0.7500

Values from the calculation:
- spin magnetization (Bohr magnetons per cell) = 1.79
- ρ (g/cm³) = 14.88
- DFT formation energy (eV per atom) = 0.315
- polymorph energy (0 for the lowest one) (meV/atom) = 278
- electronic total energy (eV per atom) = -10.29
- space group = No. 225
- DOS at the Fermi energy (states/eV/atom) = 1.32

***

Record 3
This record from the Alexandria database describes crystalline MnRhW2 at its relaxed geometry. The functional is PBE.

Cell lengths 2.7300, 3.9026, 5.4754 Å; angles 90.00, 95.05, 90.00 degrees
Sites, in units of the cell vectors:
Mn  0.0000  0.0000  0.0000
Rh  0.0000  0.0000  0.5000
W  0.4521  0.5000  0.2402
W  0.5479  0.5000  0.7598

Values from the calculation:
- spin magnetization (Bohr magnetons per cell) = 1.50
- ρ (g/cm³) = 15.02
- DFT formation energy (eV per atom) = 0.047
- polymorph energy (0 for the lowest one) (meV/atom) = 10
- electronic total energy (eV per atom) = -10.56
- space group = No. 10
- DOS at the Fermi energy (states/eV/atom) = 0.76